Entry 1:
A relaxed structure of CePm3Pr8. Source: Alexandria, functional PBE.

Output
As for the mass density: 6.183 Mg/m³. The calculation puts the energy relative to the elements at 6.1 eV per formula unit. The value obtained for the calculated volume is 38.1 Å³/atom. The uncorrected energy is -4.3581 eV/atom. Its density of states at the Fermi level is 20.194 states/eV/cell. As for the magnetic moment: 0.00 μB per formula unit.

Unit cell a=8.556 b=8.556 c=8.556 alpha=117.67 beta=117.67 gamma=94.09
Element x y z (fractional)
1 Ce 0.000 0.000 0.000
2 Pm 0.250 0.750 0.500
3 Pm 0.500 0.500 0.000
4 Pm 0.750 0.250 0.500
5 Pr 0.120 0.120 0.757
6 Pr 0.221 0.221 0.477
7 Pr 0.256 0.779 0.000
8 Pr 0.363 0.363 0.243
9 Pr 0.637 0.880 0.000
10 Pr 0.744 0.744 0.523
11 Pr 0.779 0.256 0.000
12 Pr 0.880 0.637 0.000


Entry 2:
A relaxed structure of Pr5YMg6. Source: Alexandria, functional PBE.

Output
As for the mass density: 4.400 Mg/m³. The calculation puts the energy relative to the elements at -1.4 eV per formula unit. The value obtained for the calculated volume is 29.5 Å³/atom. The uncorrected energy is -3.4418 eV/atom. Its density of states at the Fermi level is 13.308 states/eV/cell. As for the magnetic moment: 0.00 μB per formula unit.

Unit cell a=8.705 b=8.705 c=7.801 alpha=90.00 beta=90.00 gamma=143.15
Element x y z (fractional)
1 Pr 0.000 0.000 0.000
2 Pr 0.332 0.668 0.000
3 Pr 0.335 0.665 0.500
4 Pr 0.665 0.335 0.500
5 Pr 0.668 0.332 0.000
6 Y 0.000 0.000 0.500
7 Mg 0.165 0.835 0.254
8 Mg 0.165 0.835 0.746
9 Mg 0.500 0.500 0.254
10 Mg 0.500 0.500 0.746
11 Mg 0.835 0.165 0.254
12 Mg 0.835 0.165 0.746


Entry 3:
A relaxed structure of LiNd5Er4. Source: Alexandria, functional PBE.

Output
As for the mass density: 7.274 Mg/m³. The calculation puts the energy relative to the elements at 0.4 eV per formula unit. The value obtained for the calculated volume is 31.9 Å³/atom. The uncorrected energy is -4.3631 eV/atom. Its density of states at the Fermi level is 14.140 states/eV/cell. As for the magnetic moment: 0.00 μB per formula unit.

Unit cell a=3.614 b=3.614 c=24.415 alpha=90.00 beta=90.00 gamma=90.00
Element x y z (fractional)
1 Li 0.000 0.000 0.000
2 Nd 0.500 0.500 0.089
3 Nd 0.500 0.500 0.294
4 Nd 0.500 0.500 0.500
5 Nd 0.500 0.500 0.706
6 Nd 0.500 0.500 0.911
7 Er 0.000 0.000 0.190
8 Er 0.000 0.000 0.397
9 Er 0.000 0.000 0.603
10 Er 0.000 0.000 0.810


Entry 4:
A relaxed structure of YNi3Br. Source: Alexandria, functional PBE.

Output
As for the mass density: 5.021 Mg/m³. The polymorph energy (0 for the lowest one) is 892 meV per atom. The value obtained for the calculated volume is 22.8 Å³/atom. The uncorrected energy is -3.8035 eV/atom. Its raw formation energy is 1.293 eV/atom. Its density of states at the Fermi level is 0.368 states/eV/cell. As for the magnetic moment: 0.00 μB per formula unit.

Unit cell a=4.850 b=4.850 c=4.850 alpha=90.00 beta=90.00 gamma=90.00
Element x y z (fractional)
1 Y 0.000 0.000 0.000
2 Ni 0.000 0.000 0.500
3 Ni 0.000 0.500 0.000
4 Ni 0.500 0.000 0.000
5 Br 0.500 0.500 0.500


Entry 5:
A relaxed structure of RhWCl3. Source: Alexandria, functional PBE.

Output
As for the mass density: 5.928 Mg/m³. The value obtained for the calculated volume is 22.0 Å³/atom. The uncorrected energy is -4.2113 eV/atom. Its raw formation energy is 0.958 eV/atom. Its density of states at the Fermi level is 6.836 states/eV/cell. As for the magnetic moment: 4.60 μB per formula unit.

Unit cell a=4.793 b=4.793 c=4.793 alpha=90.00 beta=90.00 gamma=90.00
Element x y z (fractional)
1 Rh 0.000 0.000 0.000
2 W 0.500 0.500 0.500
3 Cl 0.000 0.000 0.500
4 Cl 0.000 0.500 0.000
5 Cl 0.500 0.000 0.000


Entry 6:
A relaxed structure of Cu2PtWBr. Source: Alexandria, functional PBE.

Output
As for the mass density: 9.878 Mg/m³. The value obtained for the calculated volume is 19.7 Å³/atom. The uncorrected energy is -4.1005 eV/atom. Its raw formation energy is 1.671 eV/atom. Its density of states at the Fermi level is 2.984 states/eV/cell. As for the magnetic moment: 3.45 μB per formula unit.

Unit cell a=4.427 b=4.427 c=5.026 alpha=90.00 beta=90.00 gamma=90.00
Element x y z (fractional)
1 Cu 0.000 0.500 0.000
2 Cu 0.500 0.000 0.000
3 Pt 0.000 0.000 0.500
4 W 0.500 0.500 0.500
5 Br 0.000 0.000 0.000


Entry 7:
A relaxed structure of NdSnIr. Source: Alexandria, functional PBE.

Output
As for the mass density: 11.146 Mg/m³. The calculation puts the energy relative to the elements at -1.3 eV per formula unit. The value obtained for the calculated volume is 22.6 Å³/atom. The uncorrected energy is -6.3190 eV/atom. Its density of states at the Fermi level is 2.357 states/eV/cell. As for the magnetic moment: 0.00 μB per formula unit.

Unit cell a=6.326 b=6.326 c=6.326 alpha=148.78 beta=148.78 gamma=44.74
Element x y z (fractional)
1 Nd 0.000 0.000 0.000
2 Sn 0.289 0.289 0.000
3 Ir 0.664 0.664 0.000


Entry 8:
A relaxed structure of BaInHg2Au2. Source: Alexandria, functional PBE.

Output
As for the mass density: 10.826 Mg/m³. The calculation puts the energy relative to the elements at -2.2 eV per formula unit. The value obtained for the calculated volume is 26.8 Å³/atom. The uncorrected energy is -2.3333 eV/atom. Its density of states at the Fermi level is 3.082 states/eV/cell. As for the magnetic moment: 0.00 μB per formula unit.

Unit cell a=4.976 b=4.976 c=7.490 alpha=90.00 beta=90.00 gamma=120.00
Element x y z (fractional)
1 Ba 0.000 0.000 0.000
2 In 0.000 0.000 0.500
3 Hg 0.333 0.667 0.283
4 Hg 0.667 0.333 0.717
5 Au 0.333 0.667 0.705
6 Au 0.667 0.333 0.295


Entry 9:
A relaxed structure of RbGaGe. Source: Alexandria, functional PBE.

Output
As for the mass density: 4.236 Mg/m³. The calculation puts the energy relative to the elements at -0.2 eV per formula unit. The value obtained for the calculated volume is 29.8 Å³/atom. The uncorrected energy is -2.9486 eV/atom. Its density of states at the Fermi level is 1.763 states/eV/cell. As for the magnetic moment: 0.00 μB per formula unit.

Unit cell a=4.362 b=6.160 c=7.513 alpha=76.18 beta=73.20 gamma=69.28
Element x y z (fractional)
1 Rb 0.068 0.211 0.151
2 Rb 0.932 0.789 0.849
3 Ga 0.280 0.614 0.327
4 Ga 0.720 0.386 0.673
5 Ge 0.373 0.206 0.549
6 Ge 0.627 0.794 0.451


Entry 10:
A relaxed structure of LaH3Ir. Source: Alexandria, functional PBE.

Output
As for the mass density: 8.786 Mg/m³. The value obtained for the calculated volume is 12.6 Å³/atom. The uncorrected energy is -5.0117 eV/atom. Its density of states at the Fermi level is 2.898 states/eV/cell. As for the magnetic moment: 0.00 μB per formula unit.

Unit cell a=3.999 b=3.999 c=9.122 alpha=90.00 beta=90.00 gamma=120.00
Element x y z (fractional)
1 La 0.000 0.000 0.000
2 La 0.000 0.000 0.500
3 H 0.000 0.000 0.250
4 H 0.000 0.000 0.750
5 H 0.333 0.667 0.065
6 H 0.333 0.667 0.435
7 H 0.667 0.333 0.565
8 H 0.667 0.333 0.935
9 Ir 0.333 0.667 0.250
10 Ir 0.667 0.333 0.750


Entry 11:
A relaxed structure of Li2ScMn. Source: Alexandria, functional PBE.

Output
As for the mass density: 2.653 Mg/m³. The polymorph energy (0 for the lowest one) is 205 meV per atom. The calculation puts the energy relative to the elements at 1.4 eV per formula unit. The value obtained for the calculated volume is 17.8 Å³/atom. The uncorrected energy is -4.4698 eV/atom. Its density of states at the Fermi level is 4.533 states/eV/cell. As for the magnetic moment: 2.94 μB per formula unit.

Unit cell a=3.379 b=3.379 c=6.237 alpha=90.00 beta=90.00 gamma=90.00
Element x y z (fractional)
1 Li 0.000 0.000 0.214
2 Li 0.000 0.000 0.786
3 Sc 0.500 0.500 0.500
4 Mn 0.500 0.500 0.000


Entry 12:
A relaxed structure of U2NiP3. Source: Alexandria, functional PBE.

Output
As for the mass density: 9.391 Mg/m³. The calculation puts the energy relative to the elements at -4.8 eV per formula unit. The value obtained for the calculated volume is 18.5 Å³/atom. The uncorrected energy is -8.2284 eV/atom. Its density of states at the Fermi level is 9.610 states/eV/cell. As for the magnetic moment: 3.56 μB per formula unit.

Unit cell a=7.595 b=7.595 c=7.595 alpha=147.10 beta=43.66 gamma=152.12
Element x y z (fractional)
1 U 0.143 0.000 0.143
2 U 0.857 0.000 0.857
3 Ni 0.509 0.009 0.500
4 P 0.339 0.001 0.338
5 P 0.499 0.499 0.000
6 P 0.663 0.001 0.662